Record 1
PrScPd2: relaxed, PBE-GGA.

Computed properties:
energy relative to the lowest polymorph listed for this composition: 0.0170 eV/atom
energy relative to the elements: -767 meV/atom
crystal system: orthorhombic

Cell: 4.709 6.854 5.481 Å, 90.00 90.00 90.00°
Space group Pmmn (No. 59, origin choice 2)
Inequivalent atoms, fractional coordinates:
Pr1 0.250 0.250 0.180 x2
Sc1 0.250 0.750 0.313 x2
Pd1 0.250 0.028 0.677 x4

***

Record 2
La5PrDy2Sc: relaxed, PBE-GGA.

Computed properties:
energy relative to the elements: 291 meV/atom
crystal system: tetragonal

Cell: 8.033 8.033 9.904 Å, 90.00 90.00 90.00°
Space group P4/mbm (No. 127)
Inequivalent atoms, fractional coordinates:
La1 0.000 0.000 0.000 x2
La2 0.205 0.295 0.267 x8
Pr1 0.000 0.000 0.500 x2
Dy1 0.130 0.630 0.000 x4
Sc1 0.000 0.500 0.500 x2

***

Record 3
Mg3IO: relaxed, PBE-GGA.

Computed properties:
formation energy without anion corrections: 4.68 eV per formula unit
energy relative to the lowest polymorph listed for this composition: 1.5548 eV/atom
crystal system: cubic

Cell: 5.719 5.719 5.719 Å, 90.00 90.00 90.00°
Space group Pm-3m (No. 221)
Inequivalent atoms, fractional coordinates:
Mg1 0.000 0.000 0.500 x3
I1 0.000 0.000 0.000 x1
O1 0.500 0.500 0.500 x1

***

Record 4
MnCr2PdN: relaxed, PBE-GGA.

Computed properties:
formation energy without anion corrections: -1.29 eV per formula unit
crystal system: tetragonal

Cell: 3.894 3.894 3.909 Å, 90.00 90.00 90.00°
Space group P4/mmm (No. 123)
Inequivalent atoms, fractional coordinates:
Mn1 0.000 0.000 0.000 x1
Cr1 0.000 0.500 0.500 x2
Pd1 0.500 0.500 0.000 x1
N1 0.000 0.000 0.500 x1

***

Record 5
Ba2Ge2SbAu6: relaxed, PBE-GGA.

Computed properties:
formation energy without anion corrections: -4.06 eV per formula unit
crystal system: trigonal

Cell: 6.8335 6.8335 26.4263 Å, 90.00 90.00 120.00°
Space group R-3m (No. 166, hexagonal axes)
Inequivalent atoms, fractional coordinates:
Ba1 0.0000 0.0000 0.2083 x6
Ge1 0.0000 0.0000 0.4538 x6
Sb1 0.0000 0.0000 0.0000 x3
Au1 0.0509 0.5255 0.7520 x18

***

Record 6
Tl2CdGeSe4: relaxed, PBE-GGA.

Computed properties:
formation energy without anion corrections: -3.23 eV per formula unit
crystal system: orthorhombic

Cell: 8.201 9.697 6.719 Å, 90.00 90.00 90.00°
Space group Pmn2_1 (No. 31)
Inequivalent atoms, fractional coordinates:
Tl1 0.223 0.162 0.000 x4
Cd1 0.000 0.382 0.457 x2
Ge1 0.000 0.649 0.943 x2
Se1 0.000 0.417 0.055 x2
Se2 0.000 0.643 0.585 x2
Se3 0.236 0.781 0.036 x4

***

Record 7
AcCd3Rh2: relaxed, PBE-GGA.

Computed properties:
energy relative to the lowest polymorph listed for this composition: 0.0000 eV/atom
energy relative to the elements: -415 meV/atom
crystal system: hexagonal

Cell: 10.0639 10.0639 4.5302 Å, 90.00 90.00 120.00°
Space group P6/mmm (No. 191)
Inequivalent atoms, fractional coordinates:
Ac1 0.0000 0.0000 0.0000 x1
Ac2 0.3333 0.6667 0.5000 x2
Cd1 0.0000 0.2945 0.5000 x6
Cd2 0.0000 0.5000 0.0000 x3
Rh1 0.1819 0.3638 0.0000 x6

***

Record 8
Cs3Pr3InS8: relaxed, PBE-GGA.

Computed properties:
formation energy without anion corrections: -21.60 eV per formula unit
crystal system: trigonal

Cell: 8.3773 8.3773 24.6858 Å, 90.00 90.00 120.00°
Space group R-3m (No. 166, hexagonal axes)
Inequivalent atoms, fractional coordinates:
Cs1 0.0000 0.5000 0.0000 x9
Pr1 0.0000 0.5000 0.5000 x9
In1 0.0000 0.0000 0.5000 x3
S1 0.0000 0.0000 0.2291 x6
S2 0.0176 0.5088 0.2263 x18

***

Record 9
K4TeI2: relaxed, PBE-GGA.

Computed properties:
formation energy without anion corrections: -8.03 eV per formula unit
crystal system: tetragonal

Cell: 6.530 6.530 18.500 Å, 90.00 90.00 90.00°
Space group I4/mmm (No. 139)
Inequivalent atoms, fractional coordinates:
K1 0.000 0.000 0.178 x4
K2 0.000 0.500 0.000 x4
Te1 0.000 0.000 0.000 x2
I1 0.000 0.000 0.361 x4

***

Record 10
In2Bi3: relaxed, PBE-GGA.

Computed properties:
energy relative to the lowest polymorph listed for this composition: 0.0465 eV/atom
energy relative to the elements: 141 meV/atom
crystal system: trigonal

Cell: 8.2074 8.2074 16.5920 Å, 90.00 90.00 120.00°
Space group R-3c (No. 167, hexagonal axes)
Inequivalent atoms, fractional coordinates:
In1 0.0000 0.0000 0.0907 x12
Bi1 0.0000 0.2418 0.2500 x18

***

Record 11
LaTb4Zn5: relaxed, PBE-GGA.

Computed properties:
energy relative to the elements: -329 meV/atom
crystal system: tetragonal

Cell: 3.611 3.611 18.150 Å, 90.00 90.00 90.00°
Space group P4/mmm (No. 123)
Inequivalent atoms, fractional coordinates:
La1 0.000 0.000 0.000 x1
Tb1 0.000 0.000 0.207 x2
Tb2 0.000 0.000 0.402 x2
Zn1 0.500 0.500 0.112 x2
Zn2 0.500 0.500 0.304 x2
Zn3 0.500 0.500 0.500 x1

***

Record 12
Pr8Ir3CI4: relaxed, PBE-GGA.

Computed properties:
formation energy without anion corrections: -13.35 eV per formula unit
crystal system: monoclinic

Cell: 14.504 8.371 9.459 Å, 90.00 120.80 90.00°
Space group C2/m (No. 12)
Inequivalent atoms, fractional coordinates:
Pr1 0.020 0.237 0.324 x8
Pr2 0.217 0.000 0.677 x4
Pr3 0.230 0.500 0.690 x4
Ir1 0.000 0.500 0.500 x2
Ir2 0.250 0.250 0.500 x4
C1 0.000 0.000 0.500 x2
I1 0.000 0.000 0.000 x2
I2 0.000 0.500 0.000 x2
I3 0.250 0.250 0.000 x4

***

Record 13
AsH6Br3: relaxed, PBE-GGA.

Computed properties:
crystal system: monoclinic
energy: -2.7488 eV per atom

Cell: 5.492 4.899 11.540 Å, 90.00 99.09 90.00°
Space group P2_1/c (No. 14)
Inequivalent atoms, fractional coordinates:
As1 0.000 0.000 0.000 x2
H1 0.119 0.118 0.870 x4
H2 0.142 0.202 0.114 x4
H3 0.239 0.733 0.511 x4
Br1 0.247 0.096 0.743 x4
Br2 0.500 0.000 0.500 x2

***

Record 14
DyErTi: relaxed, PBE-GGA.

Computed properties:
energy relative to the lowest polymorph listed for this composition: 0.1420 eV/atom
energy relative to the elements: 228 meV/atom
crystal system: hexagonal

Cell: 5.2311 5.2311 3.2931 Å, 90.00 90.00 120.00°
Space group P-6m2 (No. 187)
Inequivalent atoms, fractional coordinates:
Dy1 0.0000 0.0000 0.0000 x1
Er1 0.3333 0.6667 0.5000 x1
Ti1 0.6667 0.3333 0.5000 x1

***

Record 15
La6Tb3Th: relaxed, PBE-GGA.

Computed properties:
energy relative to the elements: 23 meV/atom
crystal system: triclinic

Cell: 3.675 6.336 29.955 Å, 86.02 89.98 89.98°
Space group P-1 (No. 2)
Inequivalent atoms, fractional coordinates:
La1 0.000 0.138 0.099 x2
La2 0.001 0.234 0.798 x2
La3 0.001 0.402 0.299 x2
La4 0.002 0.703 0.401 x2
La5 0.498 0.809 0.597 x2
La6 0.499 0.629 0.098 x2
Tb1 0.499 0.097 0.700 x2
Tb2 0.500 0.000 0.000 x1
Tb3 0.500 0.265 0.201 x2
Tb4 0.500 0.500 0.500 x1
Th1 0.000 0.000 0.500 x1
Th2 0.000 0.500 0.000 x1

***

Record 16
Al4CoRh3: relaxed, PBE-GGA.

Computed properties:
energy relative to the elements: -965 meV/atom
crystal system: tetragonal

Cell: 2.972 2.972 11.842 Å, 90.00 90.00 90.00°
Space group P4/mmm (No. 123)
Inequivalent atoms, fractional coordinates:
Al1 0.000 0.000 0.115 x2
Al2 0.000 0.000 0.372 x2
Co1 0.500 0.500 0.000 x1
Rh1 0.500 0.500 0.245 x2
Rh2 0.500 0.500 0.500 x1

***

Record 17
Zr6ICl12: relaxed, PBE-GGA.

Computed properties:
formation energy without anion corrections: -24.56 eV per formula unit
crystal system: trigonal

Cell: 12.6588 12.6588 12.4282 Å, 90.00 90.00 120.00°
Space group R-3m (No. 166, hexagonal axes)
Inequivalent atoms, fractional coordinates:
Zr1 0.0804 0.1607 0.2711 x18
I1 0.0000 0.0000 0.5000 x3
Cl1 0.0000 0.3691 0.0000 x18
Cl2 0.0909 0.1819 0.8605 x18

***

Record 18
LaVN3: relaxed, PBE-GGA.

Computed properties:
formation energy without anion corrections: -2.12 eV per formula unit
crystal system: orthorhombic

Cell: 3.523 13.825 5.087 Å, 90.00 90.00 90.00°
Space group Cmcm (No. 63)
Inequivalent atoms, fractional coordinates:
La1 0.000 0.158 0.250 x4
V1 0.000 0.452 0.250 x4
N1 0.000 0.000 0.000 x4
N2 0.183 0.169 0.750 x8

***

Record 19
KTe2Se: relaxed, PBE-GGA.

Computed properties:
formation energy without anion corrections: -1.68 eV per formula unit
crystal system: monoclinic

Cell: 12.612 4.960 5.151 Å, 90.00 97.16 90.00°
Space group Cm (No. 8)
Inequivalent atoms, fractional coordinates:
K1 0.000 0.000 0.000 x2
Te1 0.220 0.500 0.549 x2
Te2 0.489 0.000 0.493 x2
Se1 0.255 0.000 0.351 x2

***

Record 20
CaSb2TeO: relaxed, PBE-GGA.

Computed properties:
formation energy without anion corrections: -2.59 eV per formula unit
energy relative to the lowest polymorph listed for this composition: 0.0000 eV/atom
crystal system: tetragonal

Cell: 4.762 4.762 5.177 Å, 90.00 90.00 90.00°
Space group P4/mmm (No. 123)
Inequivalent atoms, fractional coordinates:
Ca1 0.000 0.000 0.000 x1
Sb1 0.000 0.500 0.500 x2
Te1 0.500 0.500 0.000 x1
O1 0.500 0.500 0.500 x1